1.
# DyHoMgGe

A relaxed DyHoMgGe crystal (PBE, Alexandria via LeMat-Bulk).

It has space group F-43m (No. 216), with a = 7.2441 Å, b = 7.2441 Å, c = 7.2441 Å, α = 90.00°, β = 90.00° and γ = 90.00°. The inequivalent atoms are Dy at (0.0000, 0.0000, 0.0000), Ho at (0.0000, 0.0000, 0.5000), Mg at (0.2500, 0.2500, 0.7500) and Ge at (0.2500, 0.2500, 0.2500).

For the size of the total moment, the calculation gives 0.0 μB/f.u. The density of states at the Fermi level is 13.7 states/eV per cell. The calculation puts the raw total energy at -4.195 eV/atom. The formation energy is -348 meV per atom.

***

2.
# Cs4DyU3S8

A relaxed Cs4DyU3S8 crystal (PBE, Alexandria via LeMat-Bulk).

It has space group R-3m (No. 166, hexagonal axes), with a = 8.2044 Å, b = 8.2044 Å, c = 24.3205 Å, α = 90.00°, β = 90.00° and γ = 120.00°. The inequivalent atoms are Cs at (0.0000, 0.0000, 0.0000), Cs at (0.0000, 0.5000, 0.0000), Dy at (0.0000, 0.0000, 0.5000), U at (0.0000, 0.5000, 0.5000), S at (0.0000, 0.0000, 0.2272) and S at (0.0005, 0.5003, 0.2275).

For the size of the total moment, the calculation gives 9.0 μB/f.u. The density of states at the Fermi level is 46.4 states/eV per cell. The calculation puts the raw total energy at -6.132 eV/atom.

***

3.
# CaPrPt4

A relaxed CaPrPt4 crystal (PBE, Alexandria via LeMat-Bulk).

It has space group F-43m (No. 216), with a = 7.7720 Å, b = 7.7720 Å, c = 7.7720 Å, α = 90.00°, β = 90.00° and γ = 90.00°. The inequivalent atoms are Ca at (0.0000, 0.0000, 0.0000), Pr at (0.2500, 0.2500, 0.7500) and Pt at (0.1254, 0.1254, 0.3746).

For the size of the total moment, the calculation gives 0.0 μB/f.u. The density of states at the Fermi level is 21.8 states/eV per cell. The calculation puts the raw total energy at -6.177 eV/atom. The formation energy is -1019 meV per atom.

***

4.
# BaY3Tl

A relaxed BaY3Tl crystal (PBE, Alexandria via LeMat-Bulk).

It has space group Pm-3m (No. 221), with a = 5.7648 Å, b = 5.7648 Å, c = 5.7648 Å, α = 90.00°, β = 90.00° and γ = 90.00°. The inequivalent atoms are Ba at (0.0000, 0.0000, 0.0000), Y at (0.0000, 0.0000, 0.5000) and Tl at (0.5000, 0.5000, 0.5000).

The value obtained for the energy above the most stable polymorph in this dataset is 0.789 eV/atom. For the size of the total moment, the calculation gives 0.0 μB/f.u. The density of states at the Fermi level is 3.5 states/eV per cell. The calculation puts the raw total energy at -3.728 eV/atom. The formation energy is 1009 meV per atom.